(1)
First-principles (PBE) data for a relaxed NaLiGa2S4 crystal, as listed in Alexandria.

Results
The calculation puts the formation energy without anion corrections at -0.94 eV per atom. The magnetization comes out at 0.0 μB per formula unit. The crystal system is tetragonal.

Cell lengths 7.2664, 7.2664, 7.2664 Å; angles 136.96, 136.96, 62.50 degrees
With the nearest neighbours (Å) after each atom.
Sites, in units of the cell vectors:
1 S 0.6239 0.6239 0.5301  2 Ga 2.32, 1 Li 2.49
2 S 0.0939 0.0939 0.4699  2 Ga 2.32, 1 Li 2.49
3 Na 0.5000 0.5000 0.0000  4 S 2.66
4 S 0.9061 0.3761 0.0000  2 Ga 2.32, 1 Li 2.49
5 S 0.3761 0.9061 0.0000  2 Ga 2.32, 1 Li 2.49
6 Ga 0.2500 0.7500 0.5000  4 S 2.32
7 Ga 0.7500 0.2500 0.5000  4 S 2.32
8 Li 0.0000 0.0000 0.0000  4 S 2.49

***

(2)
First-principles (PBE) data for a relaxed BaAl3 crystal, as listed in Alexandria.

Results
The energy relative to the elements is 1.85 kcal/mol of atoms. The magnetization comes out at 0.0 μB per formula unit. The crystal system is hexagonal.

Cell lengths 4.2499, 4.2499, 7.6948 Å; angles 90.00, 90.00, 120.00 degrees
With the nearest neighbours (Å) after each atom.
Sites, in units of the cell vectors:
1 Al 0.0000 0.0000 0.0816  4 Al 2.59-2.77
2 Al 0.0000 0.0000 0.4184  4 Al 2.59-2.77
3 Al 0.6667 0.3333 0.2500  6 Al 2.77
4 Ba 0.6667 0.3333 0.7500  8 Al 3.54-3.85

***

(3)
First-principles (PBE) data for a relaxed Ba2P2Au crystal, as listed in Alexandria.

Results
The energy relative to the elements is -12.92 kcal/mol of atoms. The magnetization comes out at 0.0 μB per formula unit. The calculation puts the energy above the most stable polymorph in this dataset at 0.307 eV/atom. The crystal system is tetragonal.

Cell lengths 7.7956, 7.7956, 4.6249 Å; angles 90.00, 90.00, 90.00 degrees
With the nearest neighbours (Å) after each atom.
Sites, in units of the cell vectors:
1 Ba 0.6544 0.8456 0.5000  6 P 3.12-3.34, 1 Ba 3.41
2 P 0.6555 0.1555 0.0000  2 Au 2.95, 2 Ba 3.12
3 P 0.3445 0.8445 0.0000  2 Au 2.95, 2 Ba 3.12
4 Au 0.0000 0.0000 0.0000  4 P 2.95
5 Ba 0.1544 0.6544 0.5000  6 P 3.12-3.34, 1 Ba 3.41
6 P 0.1555 0.3445 0.0000  2 Au 2.95, 2 Ba 3.12
7 Au 0.5000 0.5000 0.0000  4 P 2.95
8 P 0.8445 0.6555 0.0000  2 Au 2.95, 2 Ba 3.12
9 Ba 0.3456 0.1544 0.5000  6 P 3.12-3.34, 1 Ba 3.41
10 Ba 0.8456 0.3456 0.5000  6 P 3.12-3.34, 1 Ba 3.41

***

(4)
First-principles (PBE) data for a relaxed Ta2HOsRh crystal, as listed in Alexandria.

Results
The magnetization comes out at 0.0 μB per formula unit. The calculation puts the energy above the most stable polymorph in this dataset at 0.000 eV/atom. The crystal system is tetragonal.

Cell lengths 4.1845, 4.1845, 3.7890 Å; angles 90.00, 90.00, 90.00 degrees
With the nearest neighbours (Å) after each atom.
Sites, in units of the cell vectors:
1 Rh 0.0000 0.0000 0.5000  2 H 1.89
2 Os 0.5000 0.5000 0.5000  8 Ta 2.82, 4 Rh 2.96
3 Ta 0.5000 0.0000 0.0000  2 H 2.09
4 H 0.0000 0.0000 0.0000  2 Rh 1.89, 4 Ta 2.09
5 Ta 0.0000 0.5000 0.0000  2 H 2.09

***

(5)
First-principles (PBE) data for a relaxed DyCoSn crystal, as listed in Alexandria.

Results
The energy relative to the elements is -11.37 kcal/mol of atoms. The magnetization comes out at 0.1 μB per formula unit. The crystal system is orthorhombic.

Cell lengths 4.5862, 7.2593, 7.3040 Å; angles 90.00, 90.00, 90.00 degrees
With the nearest neighbours (Å) after each atom.
Sites, in units of the cell vectors:
1 Sn 0.2500 0.6100 0.7987  4 Co 2.62-2.63
2 Co 0.2500 0.9418 0.6535  4 Sn 2.62-2.63, 1 Dy 2.92
3 Dy 0.7500 0.8016 0.0250  4 Co 2.92-3.04, 6 Sn 3.11-3.26
4 Dy 0.7500 0.6984 0.5250  4 Co 2.92-3.04, 6 Sn 3.11-3.26
5 Co 0.7500 0.4418 0.8465  4 Sn 2.62-2.63, 1 Dy 2.92
6 Sn 0.7500 0.3900 0.2013  4 Co 2.62-2.63
7 Sn 0.2500 0.8900 0.2987  4 Co 2.62-2.63
8 Co 0.2500 0.5582 0.1535  4 Sn 2.62-2.63, 1 Dy 2.92
9 Dy 0.2500 0.3016 0.4750  4 Co 2.92-3.04, 6 Sn 3.11-3.26
10 Dy 0.2500 0.1984 0.9750  4 Co 2.92-3.04, 6 Sn 3.11-3.26
11 Co 0.7500 0.0582 0.3465  4 Sn 2.62-2.63, 1 Dy 2.92
12 Sn 0.7500 0.1100 0.7013  4 Co 2.62-2.63

***

(6)
First-principles (PBE) data for a relaxed Zr2TeSe crystal, as listed in Alexandria.

Results
The calculation puts the formation energy without anion corrections at -0.39 eV per atom. The magnetization comes out at 0.8 μB per formula unit. The calculation puts the energy above the most stable polymorph in this dataset at 0.647 eV/atom. The crystal system is tetragonal.

Cell lengths 5.3739, 5.3739, 8.8774 Å; angles 72.38, 72.38, 90.00 degrees
With the nearest neighbours (Å) after each atom.
Sites, in units of the cell vectors:
1 Se 0.2500 0.7500 0.5000  4 Zr 2.63
2 Zr 0.1790 0.6250 0.2500  2 Se 2.63, 2 Te 2.92
3 Zr 0.5710 0.1250 0.2500  2 Se 2.63, 2 Te 2.92
4 Zr 0.8750 0.8210 0.7500  2 Se 2.63, 2 Te 2.92
5 Zr 0.3750 0.4290 0.7500  2 Se 2.63, 2 Te 2.92
6 Te 0.7500 0.2500 0.5000  4 Zr 2.92
7 Se 0.5000 0.5000 0.0000  4 Zr 2.63
8 Te 0.0000 0.0000 0.0000  4 Zr 2.92

***

(7)
First-principles (PBE) data for a relaxed Zr2AlSi crystal, as listed in Alexandria.

Results
The calculation puts the formation energy without anion corrections at -0.61 eV per atom. The magnetization comes out at 0.0 μB per formula unit. The calculation puts the energy above the most stable polymorph in this dataset at 0.129 eV/atom. The crystal system is orthorhombic.

Cell lengths 8.2749, 6.7377, 5.3403 Å; angles 90.00, 90.00, 90.00 degrees
With the nearest neighbours (Å) after each atom.
Sites, in units of the cell vectors:
1 Zr 0.8065 0.6530 0.7500  2 Si 2.71-2.80
2 Si 0.5000 0.1720 0.2500  2 Al 2.58, 4 Zr 2.71-2.80
3 Zr 0.6935 0.1530 0.7500  2 Si 2.71-2.80
4 Al 0.5000 0.5000 0.0000  2 Si 2.58, 2 Al 2.67
5 Al 0.0000 0.0000 0.0000  2 Si 2.58, 2 Al 2.67
6 Zr 0.1935 0.3470 0.2500  2 Si 2.71-2.80
7 Zr 0.3065 0.8470 0.2500  2 Si 2.71-2.80
8 Zr 0.1935 0.6530 0.7500  2 Si 2.71-2.80
9 Si 0.0000 0.3280 0.7500  2 Al 2.58, 4 Zr 2.71-2.80
10 Zr 0.6935 0.8470 0.2500  2 Si 2.71-2.80
11 Al 0.0000 0.0000 0.5000  2 Si 2.58, 2 Al 2.67
12 Al 0.5000 0.5000 0.5000  2 Si 2.58, 2 Al 2.67
13 Zr 0.3065 0.1530 0.7500  2 Si 2.71-2.80
14 Si 0.0000 0.6720 0.2500  2 Al 2.58, 4 Zr 2.71-2.80
15 Si 0.5000 0.8280 0.7500  2 Al 2.58, 4 Zr 2.71-2.80
16 Zr 0.8065 0.3470 0.2500  2 Si 2.71-2.80

***

(8)
First-principles (PBE) data for a relaxed CdSbN3 crystal, as listed in Alexandria.

Results
The calculation puts the formation energy without anion corrections at 1.43 eV per atom. The magnetization comes out at 0.0 μB per formula unit. The crystal system is cubic.

Cell lengths 4.0584, 4.0584, 4.0584 Å; angles 90.00, 90.00, 90.00 degrees
With the nearest neighbours (Å) after each atom.
Sites, in units of the cell vectors:
1 N 0.5000 0.0000 0.0000  2 Sb 2.03
2 Sb 0.0000 0.0000 0.0000  6 N 2.03
3 N 0.0000 0.5000 0.0000  2 Sb 2.03
4 Cd 0.5000 0.5000 0.5000  12 N 2.87
5 N 0.0000 0.0000 0.5000  2 Sb 2.03